No. 1
! GGA-PBE CoRePdPb2, relaxed; values from VASP
! total energy: -4.8860 eV/atom
! energy of formation: 1.547 eV/atom
! space-group type: P4/mmm, No. 123
&SYSTEM
  ibrav = 0, nat = 5, ntyp = 4
/
ATOMIC_SPECIES
Pb 207.20 Pb.upf
Re 186.21 Re.upf
Co 58.93 Co.upf
Pd 106.42 Pd.upf
CELL_PARAMETERS angstrom
-1.0186 2.3011 -4.5204
-4.2151 -2.0159 -0.0764
-1.9877 4.0608 2.5150
ATOMIC_POSITIONS crystal
Pb 0.0000 0.0000 0.5000
Pb 0.5000 0.0000 0.0000
Re 0.5000 0.5000 0.5000
Co 0.0000 0.5000 0.0000
Pd 0.0000 0.0000 0.0000

---

No. 2
! GGA-PBE Pr3Zn3Pd2, relaxed; values from VASP
! total energy: -4.1193 eV/atom
! energy of formation: -0.551 eV/atom
! energy above the lowest structure with this stoichiometry: 16 meV per atom
! space-group type: Pnma, No. 62
&SYSTEM
  ibrav = 0, nat = 32, ntyp = 3
/
ATOMIC_SPECIES
Pr 140.91 Pr.upf
Zn 65.41 Zn.upf
Pd 106.42 Pd.upf
CELL_PARAMETERS angstrom
5.6805 0.0000 0.0000
0.0000 8.0598 0.0000
0.0000 0.0000 16.0108
ATOMIC_POSITIONS crystal
Pr 0.1216 0.4601 0.3952
Pr 0.6216 0.0399 0.6048
Pr 0.8784 0.5399 0.8952
Pr 0.3784 0.9601 0.1048
Pr 0.8784 0.5399 0.6048
Pr 0.3784 0.9601 0.3952
Pr 0.1216 0.4601 0.1048
Pr 0.6216 0.0399 0.8952
Pr 0.6258 0.3326 0.2500
Pr 0.1258 0.1674 0.7500
Pr 0.3742 0.6674 0.7500
Pr 0.8742 0.8326 0.2500
Zn 0.1254 0.1777 0.2500
Zn 0.6254 0.3223 0.7500
Zn 0.8746 0.8223 0.7500
Zn 0.3746 0.6777 0.2500
Zn 0.6006 0.3201 0.4654
Zn 0.1006 0.1799 0.5346
Zn 0.3994 0.6799 0.9654
Zn 0.8994 0.8201 0.0346
Zn 0.3994 0.6799 0.5346
Zn 0.8994 0.8201 0.4654
Zn 0.6006 0.3201 0.0346
Zn 0.1006 0.1799 0.9654
Pd 0.8752 0.1098 0.3886
Pd 0.3752 0.3902 0.6114
Pd 0.1248 0.8902 0.8886
Pd 0.6248 0.6098 0.1114
Pd 0.1248 0.8902 0.6114
Pd 0.6248 0.6098 0.3886
Pd 0.8752 0.1098 0.1114
Pd 0.3752 0.3902 0.8886